(1)
Entry from the Alexandria database: SbBrO after structural relaxation (GGA-PBE).

Lattice parameters (Å, degrees): 3.5003 4.1147 6.4602 74.40 80.32 65.08
Sites, in units of the cell vectors:
Sb: 0.0476 0.6102 0.5167
O: 0.6722 0.4349 0.3962
Br: 0.2466 0.0132 0.8431

Computed properties:
Energy relative to the elements, uncorrected (meV per atom): -776.0
D(E_F) (states/eV per cell): 0.0
Symmetry: No. 1
Electronic total energy (eV per atom): -4.361

(2)
Entry from the Alexandria database: Pr4Nd2Y2Ho after structural relaxation (GGA-PBE).

Lattice parameters (Å, degrees): 5.1827 8.1975 8.1463 107.62 90.00 108.43
Sites, in units of the cell vectors:
Y: 0.6663 0.3325 0.0000
Y: 0.3337 0.6675 0.0000
Nd: 0.1111 0.2222 0.6693
Nd: 0.8889 0.7778 0.3307
Pr: 0.4452 0.8903 0.6691
Pr: 0.7782 0.5564 0.6685
Pr: 0.5548 0.1097 0.3309
Pr: 0.2218 0.4436 0.3315
Ho: 0.0000 0.0000 0.0000

Computed properties:
D(E_F) (states/eV per cell): 14.9
Symmetry: No. 12
Energy of formation from the pure elements (eV/atom): 0.020
Electronic total energy (eV per atom): -5.109

(3)
Entry from the Alexandria database: Li4DyHg5 after structural relaxation (GGA-PBE).

Lattice parameters (Å, degrees): 3.4490 3.4490 16.7582 90.00 90.00 90.00
Last column: magnetic moment on the atom in μB.
Sites, in units of the cell vectors:
Li: 0.0000 0.0000 0.7829  0.00
Li: 0.0000 0.0000 0.4067  0.00
Li: 0.0000 0.0000 0.2171  0.00
Li: 0.0000 0.0000 0.5933  0.00
Hg: 0.5000 0.5000 0.1221  0.01
Hg: 0.5000 0.5000 0.6878  0.00
Hg: 0.5000 0.5000 0.5000  0.00
Hg: 0.5000 0.5000 0.3122  0.00
Hg: 0.5000 0.5000 0.8779  0.01
Dy: 0.0000 0.0000 0.0000  0.21

Computed properties:
D(E_F) (states/eV per cell): 3.4
Symmetry: No. 123
Energy of formation from the pure elements (eV/atom): -0.379
Electronic total energy (eV per atom): -1.756

(4)
Entry from the Alexandria database: BeRhPb2 after structural relaxation (GGA-PBE).

Lattice parameters (Å, degrees): 4.3226 5.2474 3.5421 90.00 90.00 90.00
Sites, in units of the cell vectors:
Pb: 0.5000 0.5000 0.0000
Pb: 0.0000 0.0000 0.0000
Be: 0.0000 0.5000 0.5000
Rh: 0.5000 0.0000 0.5000

Computed properties:
D(E_F) (states/eV per cell): 1.8
Symmetry: No. 47
Energy of formation from the pure elements (eV/atom): 0.433
Electronic total energy (eV per atom): -4.191

(5)
Entry from the Alexandria database: SrTlRh2 after structural relaxation (GGA-PBE).

Lattice parameters (Å, degrees): 5.6110 5.6110 5.6110 136.70 136.70 62.89
Last column: magnetic moment on the atom in μB.
Sites, in units of the cell vectors:
Rh: 0.0000 0.0000 0.0000  0.13
Rh: 0.2500 0.7500 0.5000  0.13
Tl: 0.7500 0.2500 0.5000  0.00
Sr: 0.5000 0.5000 0.0000  0.00

Computed properties:
D(E_F) (states/eV per cell): 5.9
Symmetry: No. 119
Energy of formation from the pure elements (eV/atom): 0.081
Electronic total energy (eV per atom): -4.607

(6)
Entry from the Alexandria database: SrV3Tc after structural relaxation (GGA-PBE).

Lattice parameters (Å, degrees): 4.8098 4.8098 4.8098 90.00 90.00 90.00
Last column: magnetic moment on the atom in μB.
Sites, in units of the cell vectors:
Tc: 0.0000 0.0000 0.0000  -0.54
Sr: 0.5000 0.5000 0.5000  0.08
V: 0.5000 0.0000 0.0000  1.83
V: 0.0000 0.0000 0.5000  1.83
V: 0.0000 0.5000 0.0000  1.83

Computed properties:
D(E_F) (states/eV per cell): 6.5
Symmetry: No. 221
Energy of formation from the pure elements (eV/atom): 0.792
Electronic total energy (eV per atom): -7.089

(7)
Entry from the Alexandria database: BaZnH8Rh2 after structural relaxation (GGA-PBE).

Lattice parameters (Å, degrees): 4.8120 4.8120 6.8546 69.45 69.45 60.00
Sites, in units of the cell vectors:
H: 0.9033 0.6017 0.1284
H: 0.2129 0.2129 0.3614
H: 0.6334 0.0967 0.8716
H: 0.6017 0.3666 0.1284
H: 0.7871 0.7871 0.6386
H: 0.3983 0.6334 0.8716
H: 0.0967 0.3983 0.8716
H: 0.3666 0.9033 0.1284
Rh: 0.3038 0.3038 0.0885
Rh: 0.6962 0.6962 0.9115
Ba: 0.5000 0.5000 0.5000
Zn: 0.0000 0.0000 0.0000

Computed properties:
D(E_F) (states/eV per cell): 0.5
Symmetry: No. 148
Electronic total energy (eV per atom): -3.926

(8)
Entry from the Alexandria database: Dy2TmNpAs4 after structural relaxation (GGA-PBE).

Lattice parameters (Å, degrees): 4.0941 7.0954 7.1017 109.31 90.00 90.00
Last column: magnetic moment on the atom in μB.
Sites, in units of the cell vectors:
Np: 0.0000 0.0000 0.0000  3.65
As: 0.5000 0.2496 0.2472  -0.06
As: 0.0000 0.7493 0.2459  -0.04
As: 0.0000 0.2507 0.7541  -0.04
As: 0.5000 0.7504 0.7528  -0.06
Tm: 0.5000 0.5000 0.0000  0.02
Dy: 0.0000 0.5000 0.5000  0.01
Dy: 0.5000 0.0000 0.5000  0.03

Computed properties:
D(E_F) (states/eV per cell): 11.4
Symmetry: No. 10
Energy of formation from the pure elements (eV/atom): -1.305
Electronic total energy (eV per atom): -6.957

(9)
Entry from the Alexandria database: CePd3Pt after structural relaxation (GGA-PBE).

Lattice parameters (Å, degrees): 4.9060 7.3805 7.3806 127.68 90.00 90.03
Last column: magnetic moment on the atom in μB.
Sites, in units of the cell vectors:
Pt: 0.2499 0.4355 0.5645  -0.01
Pt: 0.7501 0.5645 0.4355  -0.01
Pd: 0.2501 0.4155 0.1768  -0.01
Pd: 0.5000 0.0000 0.0000  0.00
Pd: 0.7499 0.5845 0.8232  -0.01
Pd: 0.7499 0.1768 0.4155  -0.01
Pd: 0.2501 0.8232 0.5845  -0.01
Pd: 0.0000 0.0000 0.0000  0.00
Ce: 0.7501 0.7591 0.2409  0.26
Ce: 0.2499 0.2409 0.7591  0.26

Computed properties:
D(E_F) (states/eV per cell): 8.3
Symmetry: No. 63
Energy of formation from the pure elements (eV/atom): -0.204
Electronic total energy (eV per atom): -5.715

(10)
Entry from the Alexandria database: LaSe3 after structural relaxation (GGA-PBE).

Lattice parameters (Å, degrees): 4.1619 5.7365 4.1640 90.00 90.00 90.00
Sites, in units of the cell vectors:
Se: 0.5000 0.0000 0.4224
Se: 0.5000 0.5000 0.9119
Se: 0.0000 0.5000 0.4082
La: 0.0000 0.0000 0.9242

Computed properties:
Energy relative to the elements, uncorrected (meV per atom): -1038.3
D(E_F) (states/eV per cell): 2.0
Symmetry: No. 25
Electronic total energy (eV per atom): -4.884

(11)
Entry from the Alexandria database: ZrAsPBr2 after structural relaxation (GGA-PBE).

Lattice parameters (Å, degrees): 4.8366 4.8366 5.1400 90.00 90.00 90.00
Last column: magnetic moment on the atom in μB.
Sites, in units of the cell vectors:
Br: 0.5000 0.0000 0.0000  -0.03
Br: 0.0000 0.5000 0.0000  -0.03
As: 0.0000 0.0000 0.5000  -0.08
Zr: 0.5000 0.5000 0.5000  1.01
P: 0.0000 0.0000 0.0000  0.00

Computed properties:
Energy relative to the elements, uncorrected (meV per atom): 492.3
D(E_F) (states/eV per cell): 4.8
Symmetry: No. 123
Electronic total energy (eV per atom): -3.898

(12)
Entry from the Alexandria database: La3Dy2Er4 after structural relaxation (GGA-PBE).

Lattice parameters (Å, degrees): 6.1668 11.2504 11.2504 63.35 63.09 63.09
Sites, in units of the cell vectors:
La: 0.7423 0.6993 0.9714
La: 0.2577 0.3007 0.0286
La: 0.2500 0.6281 0.3719
La: 0.7577 0.0286 0.3007
La: 0.2423 0.9714 0.6993
La: 0.7500 0.3719 0.6281
Er: 0.4158 0.6045 0.8459
Er: 0.9158 0.8459 0.6045
Er: 0.4247 0.9346 0.1775
Er: 0.5753 0.0654 0.8225
Er: 0.0753 0.8225 0.0654
Er: 0.9247 0.1775 0.9346
Er: 0.5842 0.3955 0.1541
Er: 0.0842 0.1541 0.3955
Dy: 0.4277 0.2617 0.5146
Dy: 0.5723 0.7383 0.4854
Dy: 0.0723 0.4854 0.7383
Dy: 0.9277 0.5146 0.2617

Computed properties:
D(E_F) (states/eV per cell): 27.1
Symmetry: No. 15
Energy of formation from the pure elements (eV/atom): 0.107
Electronic total energy (eV per atom): -4.586